Record 1
The following is a DFT calculation (GGA-PBE) of a relaxed ZrTaIr2 crystal.

Results
DOS(E_F)	0.62	states/eV per atom
formation enthalpy at 0 K	-0.67	eV/atom

```
data_ZrTaIr2
_symmetry_space_group_name_H-M 'P m m a'
_symmetry_Int_Tables_number 51
_cell_length_a 6.894
_cell_length_b 2.949
_cell_length_c 6.783
_cell_angle_alpha 90.00
_cell_angle_beta 90.00
_cell_angle_gamma 90.00
loop_
_symmetry_equiv_pos_as_xyz
'x,y,z'
'-x,-y,-z'
'-x+1/2,-y,z'
'x+1/2,y,-z'
'x+1/2,-y,-z'
'-x+1/2,y,z'
'-x,y,-z'
'x,-y,z'
loop_
_atom_site_label
_atom_site_type_symbol
_atom_site_fract_x
_atom_site_fract_y
_atom_site_fract_z
_atom_site_occupancy
Zr1 Zr 0.250 0.000 0.008 1
Ta1 Ta 0.250 0.000 0.459 1
Ir1 Ir 0.035 0.500 0.725 1
```

Record 2
The following is a DFT calculation (GGA-PBE) of a relaxed ZrTaIr2 crystal.

Results
DOS(E_F)	0.90	states/eV per atom
formation enthalpy at 0 K	-0.62	eV/atom

```
data_ZrTaIr2
_symmetry_space_group_name_H-M 'P 1 2/m 1'
_symmetry_Int_Tables_number 10
_cell_length_a 2.957
_cell_length_b 3.802
_cell_length_c 6.058
_cell_angle_alpha 90.00
_cell_angle_beta 90.29
_cell_angle_gamma 90.00
loop_
_symmetry_equiv_pos_as_xyz
'x,y,z'
'-x,-y,-z'
'-x,y,-z'
'x,-y,z'
loop_
_atom_site_label
_atom_site_type_symbol
_atom_site_fract_x
_atom_site_fract_y
_atom_site_fract_z
_atom_site_occupancy
Zr1 Zr 0.000 0.000 0.000 1
Ta1 Ta 0.000 0.000 0.500 1
Ir1 Ir 0.500 0.500 0.262 1
```

Record 3
The following is a DFT calculation (GGA-PBE) of a relaxed ZrTaIr2 crystal.

Results
DOS(E_F)	1.01	states/eV per atom
formation enthalpy at 0 K	-0.62	eV/atom

```
data_ZrTaIr2
_symmetry_space_group_name_H-M 'C m m m'
_symmetry_Int_Tables_number 65
_symmetry_space_group_name_Hall '-C 2 2'
_cell_length_a 6.013
_cell_length_b 7.575
_cell_length_c 2.981
_cell_angle_alpha 90.00
_cell_angle_beta 90.00
_cell_angle_gamma 90.00
loop_
_atom_site_label
_atom_site_type_symbol
_atom_site_fract_x
_atom_site_fract_y
_atom_site_fract_z
_atom_site_occupancy
Zr1 Zr 0.000 0.000 0.000 1
Ta1 Ta 0.000 0.500 0.000 1
Ir1 Ir 0.250 0.250 0.500 1
```

Record 4
The following is a DFT calculation (GGA-PBE) of a relaxed ZrTaIr2 crystal.

Results
DOS(E_F)	1.17	states/eV per atom
formation enthalpy at 0 K	-0.23	eV/atom

```
data_ZrTaIr2
_symmetry_space_group_name_H-M 'P 1 2/m 1'
_symmetry_Int_Tables_number 10
_cell_length_a 4.866
_cell_length_b 2.937
_cell_length_c 5.102
_cell_angle_alpha 90.00
_cell_angle_beta 110.31
_cell_angle_gamma 90.00
loop_
_symmetry_equiv_pos_as_xyz
'x,y,z'
'-x,-y,-z'
'-x,y,-z'
'x,-y,z'
loop_
_atom_site_label
_atom_site_type_symbol
_atom_site_fract_x
_atom_site_fract_y
_atom_site_fract_z
_atom_site_occupancy
Zr1 Zr 0.000 0.000 0.000 1
Ta1 Ta 0.000 0.500 0.500 1
Ir1 Ir 0.500 0.000 0.500 1
Ir2 Ir 0.500 0.500 0.000 1
```

Record 5
The following is a DFT calculation (GGA-PBE) of a relaxed ZrTaIr2 crystal.

Results
DOS(E_F)	0.95	states/eV per atom
formation enthalpy at 0 K	-0.27	eV/atom

```
data_ZrTaIr2
_symmetry_space_group_name_H-M 'R -3 m'
_symmetry_Int_Tables_number 166
_symmetry_space_group_name_Hall '-R 3 2"'
_cell_length_a 2.9355
_cell_length_b 2.9355
_cell_length_c 27.4638
_cell_angle_alpha 90.00
_cell_angle_beta 90.00
_cell_angle_gamma 120.00
loop_
_atom_site_label
_atom_site_type_symbol
_atom_site_fract_x
_atom_site_fract_y
_atom_site_fract_z
_atom_site_occupancy
Zr1 Zr 0.0000 0.0000 0.0000 1
Ta1 Ta 0.0000 0.0000 0.5000 1
Ir1 Ir 0.0000 0.0000 0.2460 1
```

Record 6
The following is a DFT calculation (GGA-PBE) of a relaxed ZrTaIr2 crystal.

Results
DOS(E_F)	0.88	states/eV per atom
formation enthalpy at 0 K	-0.61	eV/atom

```
data_ZrTaIr2
_symmetry_space_group_name_H-M 'I 4/m m m'
_symmetry_Int_Tables_number 139
_symmetry_space_group_name_Hall '-I 4 2'
_cell_length_a 4.241
_cell_length_b 4.241
_cell_length_c 7.559
_cell_angle_alpha 90.00
_cell_angle_beta 90.00
_cell_angle_gamma 90.00
loop_
_atom_site_label
_atom_site_type_symbol
_atom_site_fract_x
_atom_site_fract_y
_atom_site_fract_z
_atom_site_occupancy
Zr1 Zr 0.000 0.000 0.000 1
Ta1 Ta 0.000 0.000 0.500 1
Ir1 Ir 0.000 0.500 0.250 1
```